{
  "formula": "TbCe2Gd",
  "functional": "PBE-GGA",
  "state": "optimized geometry",
  "total_magnetization_mub_per_cell": 8.91,
  "polymorph_energy_ev_per_atom": 0.0000,
  "ef_mev_per_atom": 111,
  "dft_energy_ev_per_atom": -7.534,
  "lattice_angstrom": [[-3.650, 2.299, -2.715], [-2.793, -4.018, 0.352], [-1.982, 1.740, 4.137]],
  "species": ["Ce", "Ce", "Tb", "Gd"],
  "fractional_positions": [[0.000, 0.000, 0.500], [0.000, 0.500, 0.000], [0.500, 0.000, 0.000], [0.500, 0.500, 0.500]]
}